(1)
{"formula": "RbTaSn2Rh", "functional": "GGA-PBE", "state": "optimized geometry", "lattice_angstrom": [[5.592, 0.000, 0.000], [0.000, 4.653, 0.000], [0.000, 0.000, 5.592]], "species": ["Rh", "Sn", "Sn", "Rb", "Ta"], "frac_coords": [[0.000, 0.500, 0.000], [0.000, 0.000, 0.500], [0.500, 0.000, 0.000], [0.000, 0.000, 0.000], [0.500, 0.500, 0.500]], "dos_ef_per_ev_atom": 1.45, "e_form_ev_per_atom": 2.328, "spacegroup": "P4/mmm"}



(2)
{"formula": "RbSr3Rh", "functional": "GGA-PBE", "state": "optimized geometry", "lattice_angstrom": [[-4.915, 5.449, -3.475], [-0.294, -5.462, -8.147], [-9.765, -6.012, 4.383]], "species": ["Sr", "Sr", "Sr", "Sr", "Sr", "Sr", "Sr", "Sr", "Sr", "Sr", "Sr", "Sr", "Rh", "Rh", "Rh", "Rh", "Rb", "Rb", "Rb", "Rb"], "frac_coords": [[0.004, 0.937, 0.865], [0.496, 0.437, 0.365], [0.496, 0.063, 0.365], [0.996, 0.437, 0.135], [0.996, 0.063, 0.135], [0.504, 0.563, 0.635], [0.504, 0.937, 0.635], [0.004, 0.563, 0.865], [0.252, 0.250, 0.747], [0.248, 0.750, 0.247], [0.748, 0.750, 0.253], [0.752, 0.250, 0.753], [0.505, 0.250, 0.570], [0.995, 0.750, 0.070], [0.495, 0.750, 0.430], [0.005, 0.250, 0.930], [0.000, 0.000, 0.500], [0.500, 0.500, 0.000], [0.500, 0.000, 0.000], [0.000, 0.500, 0.500]], "dos_ef_per_ev_atom": 0.35, "e_form_ev_per_atom": 0.061, "spacegroup": "Pnma", "relative_energy_mev_per_atom": 167.9}



(3)
{"formula": "RbSr2Rh", "functional": "GGA-PBE", "state": "optimized geometry", "lattice_angstrom": [[-2.620, -4.716, -7.007], [-5.158, -4.917, 5.237], [-8.594, -0.850, -1.795]], "species": ["Sr", "Sr", "Sr", "Sr", "Rh", "Rh", "Rb", "Rb"], "frac_coords": [[0.874, 0.125, 0.250], [0.876, 0.625, 0.250], [0.375, 0.126, 0.750], [0.875, 0.124, 0.750], [0.000, 0.000, 0.000], [0.750, 0.250, 0.500], [0.500, 0.500, 0.000], [0.250, 0.750, 0.500]], "dos_ef_per_ev_atom": 0.60, "e_form_ev_per_atom": 0.161, "spacegroup": "I-42d", "relative_energy_mev_per_atom": 189.6}



What did the first record say?
{"formula": "RbTaSn2Rh", "functional": "GGA-PBE", "state": "optimized geometry", "lattice_angstrom": [[5.592, 0.000, 0.000], [0.000, 4.653, 0.000], [0.000, 0.000, 5.592]], "species": ["Rh", "Sn", "Sn", "Rb", "Ta"], "frac_coords": [[0.000, 0.500, 0.000], [0.000, 0.000, 0.500], [0.500, 0.000, 0.000], [0.000, 0.000, 0.000], [0.500, 0.500, 0.500]], "dos_ef_per_ev_atom": 1.45, "e_form_ev_per_atom": 2.328, "spacegroup": "P4/mmm"}



Please write out number 2 again, unchanged.
{"formula": "RbSr3Rh", "functional": "GGA-PBE", "state": "optimized geometry", "lattice_angstrom": [[-4.915, 5.449, -3.475], [-0.294, -5.462, -8.147], [-9.765, -6.012, 4.383]], "species": ["Sr", "Sr", "Sr", "Sr", "Sr", "Sr", "Sr", "Sr", "Sr", "Sr", "Sr", "Sr", "Rh", "Rh", "Rh", "Rh", "Rb", "Rb", "Rb", "Rb"], "frac_coords": [[0.004, 0.937, 0.865], [0.496, 0.437, 0.365], [0.496, 0.063, 0.365], [0.996, 0.437, 0.135], [0.996, 0.063, 0.135], [0.504, 0.563, 0.635], [0.504, 0.937, 0.635], [0.004, 0.563, 0.865], [0.252, 0.250, 0.747], [0.248, 0.750, 0.247], [0.748, 0.750, 0.253], [0.752, 0.250, 0.753], [0.505, 0.250, 0.570], [0.995, 0.750, 0.070], [0.495, 0.750, 0.430], [0.005, 0.250, 0.930], [0.000, 0.000, 0.500], [0.500, 0.500, 0.000], [0.500, 0.000, 0.000], [0.000, 0.500, 0.500]], "dos_ef_per_ev_atom": 0.35, "e_form_ev_per_atom": 0.061, "spacegroup": "Pnma", "relative_energy_mev_per_atom": 167.9}